Computed, not measured: an optimized crystal structure of Pm6PrEr6 at the GGA-PBE level of DFT.

Output
Formation enthalpy at 0 K: 0.209 eV per atom

```
data_Pm6PrEr6
_chemical_formula_sum 'Pm12 Pr2 Er12'
_cell_length_a 7.092
_cell_length_b 11.212
_cell_length_c 11.140
_cell_angle_alpha 90.00
_cell_angle_beta 90.00
_cell_angle_gamma 90.00
_symmetry_space_group_name_H-M 'C m m m'
_symmetry_Int_Tables_number 65
_symmetry_space_group_name_Hall '-C 2 2'
loop_
_atom_site_label
_atom_site_fract_x
_atom_site_fract_y
_atom_site_fract_z
Pm1 0.000 0.000 0.167
Pm2 0.000 0.267 0.000
Pm3 0.000 0.358 0.500
Pr1 0.000 0.000 0.500
Er1 0.000 0.500 0.200
Er2 0.250 0.250 0.274
```


Computed, not measured: an optimized crystal structure of Ta2AgCl at the GGA-PBE level of DFT.

Output
Formation energy from raw total energies: 0.60 eV/atom

```
data_Ta2AgCl
_chemical_formula_sum 'Ta4 Ag2 Cl2'
_cell_length_a 5.761
_cell_length_b 9.426
_cell_length_c 2.871
_cell_angle_alpha 90.00
_cell_angle_beta 111.45
_cell_angle_gamma 90.00
_symmetry_space_group_name_H-M 'C 1 2/m 1'
_symmetry_Int_Tables_number 12
loop_
_symmetry_equiv_pos_as_xyz
'x,y,z'
'-x,-y,-z'
'-x,y,-z'
'x,-y,z'
'x+1/2,y+1/2,z'
'-x+1/2,-y+1/2,-z'
'-x+1/2,y+1/2,-z'
'x+1/2,-y+1/2,z'
loop_
_atom_site_label
_atom_site_fract_x
_atom_site_fract_y
_atom_site_fract_z
Ta1 0.250 0.250 0.000
Ag1 0.000 0.000 0.500
Cl1 0.000 0.500 0.500
```


Computed, not measured: an optimized crystal structure of BaInAgHg2 at the GGA-PBE level of DFT.

Output
Formation enthalpy at 0 K: -0.141 eV per atom

```
data_BaInAgHg2
_chemical_formula_sum 'Ba1 In1 Ag1 Hg2'
_cell_length_a 5.464
_cell_length_b 5.464
_cell_length_c 5.357
_cell_angle_alpha 90.00
_cell_angle_beta 90.00
_cell_angle_gamma 90.00
_symmetry_space_group_name_H-M 'P 4/m m m'
_symmetry_Int_Tables_number 123
_symmetry_space_group_name_Hall '-P 4 2'
loop_
_atom_site_label
_atom_site_fract_x
_atom_site_fract_y
_atom_site_fract_z
Ba1 0.000 0.000 0.000
In1 0.500 0.500 0.000
Ag1 0.500 0.500 0.500
Hg1 0.000 0.500 0.500
```


Computed, not measured: an optimized crystal structure of Cs2RuOF6 at the GGA-PBE level of DFT.

Output
Formation energy from raw total energies: -1.81 eV/atom

```
data_Cs2RuOF6
_chemical_formula_sum 'Cs4 Ru2 O2 F12'
_cell_length_a 6.507
_cell_length_b 6.507
_cell_length_c 9.833
_cell_angle_alpha 90.00
_cell_angle_beta 90.00
_cell_angle_gamma 90.00
_symmetry_space_group_name_H-M 'I 4/m m m'
_symmetry_Int_Tables_number 139
_symmetry_space_group_name_Hall '-I 4 2'
loop_
_atom_site_label
_atom_site_fract_x
_atom_site_fract_y
_atom_site_fract_z
Cs1 0.000 0.500 0.250
Ru1 0.000 0.000 0.000
O1 0.000 0.000 0.500
F1 0.000 0.000 0.198
F2 0.212 0.212 0.000
```


Computed, not measured: an optimized crystal structure of LaIn2Os at the GGA-PBE level of DFT.

Output
Formation enthalpy at 0 K: -0.049 eV per atom

```
data_LaIn2Os
_chemical_formula_sum 'La2 In4 Os2'
_cell_length_a 9.225
_cell_length_b 4.312
_cell_length_c 6.069
_cell_angle_alpha 90.00
_cell_angle_beta 123.96
_cell_angle_gamma 90.00
_symmetry_space_group_name_H-M 'C 1 m 1'
_symmetry_Int_Tables_number 8
loop_
_symmetry_equiv_pos_as_xyz
'x,y,z'
'x,-y,z'
'x+1/2,y+1/2,z'
'x+1/2,-y+1/2,z'
loop_
_atom_site_label
_atom_site_fract_x
_atom_site_fract_y
_atom_site_fract_z
La1 0.000 0.000 0.000
In1 0.180 0.000 0.651
In2 0.419 0.000 0.349
Os1 0.261 0.500 0.435
```


Computed, not measured: an optimized crystal structure of Na2NpWN4 at the GGA-PBE level of DFT.

Output
Formation energy from raw total energies: -0.61 eV/atom

```
data_Na2NpWN4
_chemical_formula_sum 'Na2 Np1 W1 N4'
_cell_length_a 5.622
_cell_length_b 3.236
_cell_length_c 6.004
_cell_angle_alpha 90.00
_cell_angle_beta 107.58
_cell_angle_gamma 90.00
_symmetry_space_group_name_H-M 'P 1 2/m 1'
_symmetry_Int_Tables_number 10
loop_
_symmetry_equiv_pos_as_xyz
'x,y,z'
'-x,-y,-z'
'-x,y,-z'
'x,-y,z'
loop_
_atom_site_label
_atom_site_fract_x
_atom_site_fract_y
_atom_site_fract_z
Na1 0.000 0.000 0.000
Na2 0.500 0.500 0.000
Np1 0.000 0.500 0.500
W1 0.500 0.000 0.500
N1 0.253 0.000 0.694
N2 0.279 0.500 0.309
```